A plane-wave DFT calculation with GGA-PBE was carried out for an optimized crystal structure of Ce2NdRh. Values from VASP.

The structure in Quantum ESPRESSO input format:
```
&SYSTEM
  ibrav = 0, nat = 4, ntyp = 3
/
ATOMIC_SPECIES
Ce 140.12 Ce.upf
Nd 144.24 Nd.upf
Rh 102.91 Rh.upf
ATOMIC_POSITIONS crystal
Ce 0.062 0.062 0.814
Ce 0.271 0.271 0.186
Nd 0.500 0.500 0.501
Rh 0.667 0.667 0.000
CELL_PARAMETERS angstrom
-0.972 -3.210 1.887
1.495 -0.718 3.473
-6.817 3.112 5.708
```

Values from the calculation:
* ρ: 7.46 g/cm³
* energy of formation: -0.26 eV per atom
* volume: 117.4 Å³ per cell

***

A plane-wave DFT calculation with GGA-PBE was carried out for an optimized crystal structure of Pm4Er4Tm3. Values from VASP.

The structure in Quantum ESPRESSO input format:
```
&SYSTEM
  ibrav = 0, nat = 11, ntyp = 3
/
ATOMIC_SPECIES
Pm 145.00 Pm.upf
Er 167.26 Er.upf
Tm 168.93 Tm.upf
ATOMIC_POSITIONS crystal
Pm 0.590 0.090 0.820
Pm 0.268 0.268 0.464
Pm 0.732 0.732 0.536
Pm 0.410 0.910 0.180
Er 0.546 0.546 0.909
Er 0.454 0.454 0.091
Er 0.319 0.820 0.360
Er 0.681 0.180 0.640
Tm 0.136 0.636 0.729
Tm 0.864 0.364 0.271
Tm 0.000 0.000 0.000
CELL_PARAMETERS angstrom
-2.437 2.499 -0.312
-3.600 -3.772 -2.093
-8.772 -4.205 15.129
```

Values from the calculation:
* ρ: 8.38 g/cm³
* energy of formation: 0.07 eV per atom
* volume: 348.1 Å³ per cell

***

A plane-wave DFT calculation with GGA-PBE was carried out for an optimized crystal structure of TcSn2Mo. Values from VASP.

The structure in Quantum ESPRESSO input format:
```
&SYSTEM
  ibrav = 0, nat = 4, ntyp = 3
/
ATOMIC_SPECIES
Mo 95.94 Mo.upf
Sn 118.71 Sn.upf
Tc 98.00 Tc.upf
ATOMIC_POSITIONS crystal
Mo 0.000 0.000 0.000
Sn 0.250 0.250 0.250
Sn 0.750 0.750 0.750
Tc 0.500 0.500 0.500
CELL_PARAMETERS angstrom
0.092 -4.468 1.319
1.081 -1.110 4.394
-3.285 -1.652 2.862
```

Values from the calculation:
* ρ: 10.01 g/cm³
* energy of formation: 0.31 eV per atom
* volume: 71.5 Å³ per cell

***

A plane-wave DFT calculation with GGA-PBE was carried out for an optimized crystal structure of TiZn2Ni9. Values from VASP.

The structure in Quantum ESPRESSO input format:
```
&SYSTEM
  ibrav = 0, nat = 12, ntyp = 3
/
ATOMIC_SPECIES
Ti 47.87 Ti.upf
Zn 65.41 Zn.upf
Ni 58.69 Ni.upf
ATOMIC_POSITIONS crystal
Ti 0.000 0.000 0.000
Zn 0.000 0.000 0.335
Zn 0.000 0.000 0.665
Ni 0.500 0.500 0.000
Ni 0.500 0.500 0.333
Ni 0.500 0.500 0.667
Ni 0.500 0.000 0.168
Ni 0.500 0.000 0.500
Ni 0.500 0.000 0.832
Ni 0.000 0.500 0.168
Ni 0.000 0.500 0.500
Ni 0.000 0.500 0.832
CELL_PARAMETERS angstrom
-1.197 -2.388 -2.405
-0.489 -2.402 2.628
-10.016 3.593 1.419
```

Values from the calculation:
* ρ: 8.47 g/cm³
* energy of formation: -0.24 eV per atom
* volume: 138.7 Å³ per cell

***

A plane-wave DFT calculation with GGA-PBE was carried out for an optimized crystal structure of K4AgCl6. Values from VASP.

The structure in Quantum ESPRESSO input format:
```
&SYSTEM
  ibrav = 0, nat = 22, ntyp = 3
/
ATOMIC_SPECIES
K 39.10 K.upf
Ag 107.87 Ag.upf
Cl 35.45 Cl.upf
ATOMIC_POSITIONS crystal
K 0.334 0.166 0.250
K 0.166 0.666 0.750
K 0.666 0.834 0.750
K 0.834 0.334 0.750
K 0.334 0.166 0.750
K 0.166 0.666 0.250
K 0.834 0.334 0.250
K 0.666 0.834 0.250
Ag 0.500 0.500 0.000
Ag 0.000 0.000 0.500
Cl 0.309 0.896 0.500
Cl 0.809 0.604 0.000
Cl 0.604 0.191 0.000
Cl 0.104 0.309 0.500
Cl 0.000 0.000 0.214
Cl 0.500 0.500 0.286
Cl 0.396 0.809 0.000
Cl 0.000 0.000 0.786
Cl 0.191 0.396 0.000
Cl 0.500 0.500 0.714
Cl 0.896 0.691 0.500
Cl 0.691 0.104 0.500
CELL_PARAMETERS angstrom
8.673 0.000 0.000
0.000 8.673 0.000
0.000 0.000 8.560
```

Values from the calculation:
* ρ: 2.46 g/cm³
* energy relative to the elements, uncorrected: -1.500 eV/atom
* volume: 643.9 Å³ per cell

***

A plane-wave DFT calculation with GGA-PBE was carried out for an optimized crystal structure of Mn7W. Values from VASP.

The structure in Quantum ESPRESSO input format:
```
&SYSTEM
  ibrav = 0, nat = 8, ntyp = 2
/
ATOMIC_SPECIES
Mn 54.94 Mn.upf
W 183.84 W.upf
ATOMIC_POSITIONS crystal
Mn 0.500 0.000 0.000
Mn 0.000 0.000 0.500
Mn 0.500 0.000 0.500
Mn 0.000 0.500 0.000
Mn 0.500 0.500 0.000
Mn 0.000 0.500 0.500
Mn 0.500 0.500 0.500
W 0.000 0.000 0.000
CELL_PARAMETERS angstrom
-1.552 2.107 4.403
-4.942 1.157 0.684
-2.838 -2.722 3.282
```

Values from the calculation:
* ρ: 9.93 g/cm³
* energy of formation: 0.16 eV per atom
* volume: 95.0 Å³ per cell

***

A plane-wave DFT calculation with GGA-PBE was carried out for an optimized crystal structure of LaPOs. Values from VASP.

The structure in Quantum ESPRESSO input format:
```
&SYSTEM
  ibrav = 0, nat = 3, ntyp = 3
/
ATOMIC_SPECIES
La 138.91 La.upf
Os 190.23 Os.upf
P 30.97 P.upf
ATOMIC_POSITIONS crystal
La 0.500 0.500 0.500
Os 0.750 0.750 0.750
P 0.000 0.000 0.000
CELL_PARAMETERS angstrom
-2.506 3.759 -0.316
-1.704 1.906 3.738
1.647 3.950 1.480
```

Values from the calculation:
* ρ: 9.11 g/cm³
* energy of formation: 0.01 eV per atom
* volume: 65.7 Å³ per cell

***

A plane-wave DFT calculation with GGA-PBE was carried out for an optimized crystal structure of CsB2I8. Values from VASP.

The structure in Quantum ESPRESSO input format:
```
&SYSTEM
  ibrav = 0, nat = 11, ntyp = 3
/
ATOMIC_SPECIES
Cs 132.91 Cs.upf
B 10.81 B.upf
I 126.90 I.upf
ATOMIC_POSITIONS crystal
Cs 0.000 0.000 0.000
B 0.219 0.453 0.722
B 0.781 0.547 0.278
I 0.499 0.587 0.213
I 0.854 0.180 0.712
I 0.244 0.493 0.522
I 0.756 0.507 0.478
I 0.146 0.820 0.288
I 0.501 0.413 0.787
I 0.302 0.738 0.846
I 0.698 0.262 0.154
CELL_PARAMETERS angstrom
6.916 -0.817 -0.314
-4.093 6.857 -2.447
-0.594 1.400 11.028
```

Values from the calculation:
* ρ: 3.82 g/cm³
* energy relative to the elements, uncorrected: -0.283 eV/atom
* volume: 509.1 Å³ per cell

***

Copy entry 4 word for word.
A plane-wave DFT calculation with GGA-PBE was carried out for an optimized crystal structure of TiZn2Ni9. Values from VASP.

The structure in Quantum ESPRESSO input format:
```
&SYSTEM
  ibrav = 0, nat = 12, ntyp = 3
/
ATOMIC_SPECIES
Ti 47.87 Ti.upf
Zn 65.41 Zn.upf
Ni 58.69 Ni.upf
ATOMIC_POSITIONS crystal
Ti 0.000 0.000 0.000
Zn 0.000 0.000 0.335
Zn 0.000 0.000 0.665
Ni 0.500 0.500 0.000
Ni 0.500 0.500 0.333
Ni 0.500 0.500 0.667
Ni 0.500 0.000 0.168
Ni 0.500 0.000 0.500
Ni 0.500 0.000 0.832
Ni 0.000 0.500 0.168
Ni 0.000 0.500 0.500
Ni 0.000 0.500 0.832
CELL_PARAMETERS angstrom
-1.197 -2.388 -2.405
-0.489 -2.402 2.628
-10.016 3.593 1.419
```

Values from the calculation:
* ρ: 8.47 g/cm³
* energy of formation: -0.24 eV per atom
* volume: 138.7 Å³ per cell

***

- Which value of ρ does entry 1 give?
  7.46 g/cm³

***

- The lowest volume belongs to which entry?
  LaPOs